TbLuGa2Pt4, relaxed, DFT PBE; V = 18.757 A^3/atom; M_tot = 0.00 μB/f.u.; calculated total energy = -6.00 eV/atom
1.0
-1.008 -4.256 0.107
3.768 1.400 1.727
-4.097 1.171 7.989
Lu Pt Ga Tb
1 4 2 1
Cartesian
-2.048 0.585 3.995
-3.409 0.974 6.648
-0.688 0.197 1.342
0.782 -0.087 3.905
-0.527 0.287 6.458
-0.444 -2.077 2.652
-2.484 -1.494 6.631
2.176 -0.485 1.187